[1]
# Nd3Th2Sn3

Nd3Th2Sn3 after structural relaxation (GGA-PBE, Alexandria via LeMat-Bulk).

Unit cell a=9.432 b=9.432 c=6.576 alpha=90.00 beta=90.00 gamma=120.00
Sites, in units of the cell vectors:
Nd1 0.000 0.251 0.250
Nd2 0.000 0.749 0.750
Nd3 0.251 0.000 0.250
Nd4 0.251 0.251 0.750
Nd5 0.749 0.000 0.750
Nd6 0.749 0.749 0.250
Th1 0.333 0.667 0.000
Th2 0.333 0.667 0.500
Th3 0.667 0.333 0.000
Th4 0.667 0.333 0.500
Sn1 0.000 0.387 0.750
Sn2 0.000 0.613 0.250
Sn3 0.387 0.000 0.750
Sn4 0.387 0.387 0.250
Sn5 0.613 0.000 0.250
Sn6 0.613 0.613 0.750

Results
E, eV for the cell shown: -92.1
Magnetic moment, μB per formula unit: 0.78



[2]
# NdTh2Sn2

NdTh2Sn2 after structural relaxation (GGA-PBE, Alexandria via LeMat-Bulk).

Unit cell a=9.158 b=9.158 c=5.720 alpha=90.00 beta=90.00 gamma=138.85
Sites, in units of the cell vectors:
Nd1 0.000 0.000 0.000
Nd2 0.000 0.000 0.500
Th1 0.200 0.800 0.750
Th2 0.413 0.587 0.250
Th3 0.587 0.413 0.750
Th4 0.800 0.200 0.250
Sn1 0.114 0.393 0.750
Sn2 0.393 0.114 0.250
Sn3 0.607 0.886 0.750
Sn4 0.886 0.607 0.250

Results
E, eV for the cell shown: -57.7
Magnetic moment, μB per formula unit: 0.18



[3]
# Nd2ThSn3

Nd2ThSn3 after structural relaxation (GGA-PBE, Alexandria via LeMat-Bulk).

Unit cell a=7.824 b=7.824 c=7.824 alpha=146.25 beta=131.62 gamma=60.29
Sites, in units of the cell vectors:
Nd1 0.167 0.167 0.000
Nd2 0.833 0.833 0.000
Th1 0.500 0.500 0.000
Sn1 0.000 0.500 0.500
Sn2 0.334 0.834 0.500
Sn3 0.666 0.166 0.500

Results
E, eV for the cell shown: -32.2
Magnetic moment, μB per formula unit: 0.00



[4]
# NdTh2Sn

NdTh2Sn after structural relaxation (GGA-PBE, Alexandria via LeMat-Bulk).

Unit cell a=12.688 b=12.688 c=12.688 alpha=15.88 beta=15.88 gamma=15.88
Sites, in units of the cell vectors:
Nd1 0.000 0.000 0.000
Th1 0.414 0.414 0.414
Th2 0.586 0.586 0.586
Sn1 0.500 0.500 0.500

Results
Excess energy over the best structure of this formula in the dataset, eV/f.u.: 2.10
E, eV for the cell shown: -22.9
Magnetic moment, μB per formula unit: 0.00



[5]
# Nd2ThSn

Nd2ThSn after structural relaxation (GGA-PBE, Alexandria via LeMat-Bulk).

Unit cell a=4.093 b=4.093 c=7.286 alpha=90.00 beta=90.00 gamma=90.00
Sites, in units of the cell vectors:
Nd1 0.000 0.000 0.221
Nd2 0.000 0.000 0.779
Th1 0.500 0.500 0.500
Sn1 0.500 0.500 0.000

Results
Excess energy over the best structure of this formula in the dataset, eV/f.u.: 0.31
E, eV for the cell shown: -22.2
Magnetic moment, μB per formula unit: 0.00



[6]
# NdTh2Sn9

NdTh2Sn9 after structural relaxation (GGA-PBE, Alexandria via LeMat-Bulk).

Unit cell a=4.754 b=4.754 c=14.293 alpha=90.00 beta=90.00 gamma=90.00
Sites, in units of the cell vectors:
Nd1 0.000 0.000 0.000
Th1 0.000 0.000 0.335
Th2 0.000 0.000 0.665
Sn1 0.000 0.500 0.167
Sn2 0.000 0.500 0.500
Sn3 0.000 0.500 0.833
Sn4 0.500 0.000 0.167
Sn5 0.500 0.000 0.500
Sn6 0.500 0.000 0.833
Sn7 0.500 0.500 0.000
Sn8 0.500 0.500 0.333
Sn9 0.500 0.500 0.667

Results
E, eV for the cell shown: -61.2
Magnetic moment, μB per formula unit: 0.00